An optimized crystal structure of Re2AsIr. Source: Alexandria, functional PBE.

CIF file:
```
data_Re2AsIr
_space_group_name_H-M_alt 'P 1'
_space_group_IT_number 1
_cell_length_a 2.889
_cell_length_b 4.539
_cell_length_c 4.659
_cell_angle_alpha 90.00
_cell_angle_beta 90.00
_cell_angle_gamma 90.00
loop_
_space_group_symop_operation_xyz
'x,y,z'
loop_
_atom_site_label
_atom_site_type_symbol
_atom_site_fract_x
_atom_site_fract_y
_atom_site_fract_z
_atom_site_occupancy
As1 As 0.500 0.000 0.500 1
Re1 Re 0.500 0.500 0.000 1
Re2 Re 0.000 0.000 0.000 1
Ir1 Ir 0.000 0.500 0.500 1
```

* total energy: -36.590 eV per cell
* total magnetization: 0.000 μB per atom